GGA-PBE Sr2HfBAs, relaxed; V = 30.093 Å³ per atom; ΔE_f = 4.27 eV per formula unit; final energy = -20.4 eV for the cell shown; total magnetization = 3.12 μB per cell; symmetry = P4/mmm
1.0
-0.371 3.938 -4.692
2.726 -2.128 -2.001
-4.471 -3.387 -2.490
Sr As B Hf
2 1 1 1
direct
0.000 0.000 0.500
0.500 0.000 0.000
0.000 0.000 0.000
0.000 0.500 0.000
0.500 0.500 0.500